Here is a geometry-optimized PrSm2Pu structure from the Alexandria database. Energies are from PBE-GGA.

Calculated values
The calculation puts the formation energy at 0.1544 eV per atom. Its energy above the most stable polymorph in this dataset is 40 meV per atom. The space-group type is P4/mmm (123). The value obtained for the total energy is -27.93 eV for the cell shown. The value obtained for the magnetization is 1.582 μB/atom.

a = 5.0857 Å, b = 5.0715 Å, c = 5.0715 Å
α = 90.00°, β = 90.00°, γ = 90.00°
Closest atoms and distances in Å follow each position.
Atoms (fractional coordinates):
Pu 0.5000 0.5000 0.5000  4 Pr 3.59, 8 Sm 3.59
Sm 0.0000 0.5000 0.0000  4 Sm 3.59, 4 Pr 3.59, 4 Pu 3.59
Sm 0.0000 0.0000 0.5000  4 Sm 3.59, 4 Pr 3.59, 4 Pu 3.59
Pr 0.5000 0.0000 0.0000  4 Pu 3.59, 8 Sm 3.59